Entry 1:
{"formula": "HfAgN3", "functional": "PBE-GGA", "state": "optimized geometry", "lattice": [[4.180, 0.000, 0.000], [0.000, 4.180, 0.000], [0.000, 0.000, 4.180]], "species": ["Hf", "Ag", "N", "N", "N"], "frac_coords": [[0.000, 0.000, 0.000], [0.500, 0.500, 0.500], [0.000, 0.000, 0.500], [0.000, 0.500, 0.000], [0.500, 0.000, 0.000]], "formation_energy_uncorrected_kj_per_mol_fu": 411, "dos_at_fermi_per_ev_fu": 5.75}

***

Entry 2:
{"formula": "HfAgN", "functional": "PBE-GGA", "state": "optimized geometry", "lattice": [[1.714, -9.803, 0.000], [1.714, 9.803, 0.000], [0.000, 0.000, 4.293]], "species": ["Hf", "Hf", "Ag", "Ag", "N", "N"], "frac_coords": [[0.129, 0.871, 0.750], [0.871, 0.129, 0.250], [0.234, 0.766, 0.250], [0.766, 0.234, 0.750], [0.418, 0.582, 0.250], [0.582, 0.418, 0.750]], "formation_energy_uncorrected_kj_per_mol_fu": 7, "dos_at_fermi_per_ev_fu": 0.79}

***

Entry 3:
{"formula": "HfAgN3", "functional": "PBE-GGA", "state": "optimized geometry", "lattice": [[3.915, 0.000, 0.000], [0.000, 3.915, 0.000], [0.000, 0.000, 3.915]], "species": ["Hf", "Ag", "N", "N", "N"], "frac_coords": [[0.000, 0.000, 0.000], [0.500, 0.500, 0.500], [0.000, 0.500, 0.500], [0.500, 0.000, 0.500], [0.500, 0.500, 0.000]], "formation_energy_uncorrected_kj_per_mol_fu": 720, "dos_at_fermi_per_ev_fu": 3.16}

***

Entry 4:
{"formula": "Hf6Ag2N", "functional": "PBE-GGA", "state": "optimized geometry", "lattice": [[5.845, 0.000, 0.000], [0.000, 6.190, 0.000], [-5.268, 0.000, 9.635]], "species": ["Hf", "Hf", "Hf", "Hf", "Hf", "Hf", "Hf", "Hf", "Hf", "Hf", "Hf", "Hf", "Ag", "Ag", "Ag", "Ag", "N", "N"], "frac_coords": [[0.114, 0.011, 0.242], [0.114, 0.489, 0.742], [0.195, 0.688, 0.030], [0.195, 0.812, 0.530], [0.351, 0.193, 0.026], [0.351, 0.307, 0.526], [0.649, 0.693, 0.474], [0.649, 0.807, 0.974], [0.805, 0.188, 0.470], [0.805, 0.312, 0.970], [0.886, 0.511, 0.258], [0.886, 0.989, 0.758], [0.361, 0.093, 0.755], [0.361, 0.407, 0.255], [0.639, 0.593, 0.745], [0.639, 0.907, 0.245], [0.000, 0.000, 0.000], [0.000, 0.500, 0.500]], "formation_energy_uncorrected_kj_per_mol_fu": -257, "dos_at_fermi_per_ev_fu": 7.14}